1.
Sr3Mg SCAN PBEsol geometry; formation enthalpy at 0 K = 0.0139 eV per atom; SG = Pnma (62); uncorrected energy = -17.9360 eV per atom
1.0
7.268 0.000 0.000
0.000 9.360 0.000
0.000 0.000 10.829
Sr Mg
12 4
Cartesian
2.664 1.694 0.595
6.459 0.274 2.707
0.810 9.085 8.121
2.664 1.694 4.819
0.970 6.374 0.595
2.824 4.405 8.121
6.299 2.986 6.010
6.299 2.986 10.233
0.970 6.374 4.819
4.604 7.666 6.010
4.604 7.666 10.233
4.444 4.954 2.707
4.180 1.082 8.121
3.089 8.278 2.707
0.545 3.598 2.707
6.723 5.762 8.121


2.
SrMg5 SCAN PBEsol geometry; formation enthalpy at 0 K = -0.0524 eV per atom; SG = P6/mmm (191); uncorrected energy = -7.9098 eV per atom
1.0
-0.810 -4.051 2.849
4.348 -3.041 -3.087
1.479 3.227 5.008
Mg Sr
5 1
Cartesian
2.174 -1.520 -1.544
2.030 -0.888 3.735
2.914 0.093 0.961
0.740 1.613 2.504
2.987 -2.977 1.036
-0.405 -2.026 1.425


3.
Sr3Mg SCAN PBEsol geometry; formation enthalpy at 0 K = 0.0537 eV per atom; SG = Pm-3m (221); uncorrected energy = -17.8962 eV per atom
1.0
-3.150 0.489 -4.566
-0.816 -5.508 -0.027
-4.519 0.654 3.188
Sr Mg
3 1
Cartesian
-1.575 0.244 -2.283
-0.408 -2.754 -0.013
-2.259 0.327 1.594
-4.242 -2.183 -0.703


4.
SrMg SCAN PBEsol geometry; formation enthalpy at 0 K = 0.7614 eV per atom; SG = F-43m (216); uncorrected energy = -12.8630 eV per atom
1.0
-2.922 -2.120 4.112
2.439 -3.154 3.747
0.706 1.857 5.099
Mg Sr
1 1
Cartesian
0.167 -2.563 9.719
0.000 0.000 0.000


5.
Sr4Mg3 SCAN PBEsol geometry; formation enthalpy at 0 K = 0.0231 eV per atom; SG = P6/mmm (191); uncorrected energy = -14.8372 eV per atom
1.0
6.599 0.000 0.000
-3.299 5.715 0.000
0.000 0.000 7.051
Mg Sr
3 4
Cartesian
3.299 0.000 0.000
-1.650 2.857 0.000
1.650 2.857 0.000
3.299 1.905 3.525
0.000 3.810 3.525
0.000 0.000 1.705
0.000 0.000 5.346


6.
Sr4Mg SCAN PBEsol geometry; formation enthalpy at 0 K = 0.0058 eV per atom; SG = I4/m (87); uncorrected energy = -18.8091 eV per atom
1.0
-3.935 -1.584 -0.087
0.341 -6.291 -4.330
-0.480 -4.815 5.919
Sr Mg
4 1
Cartesian
-2.518 -5.274 2.986
-3.192 -9.220 1.881
-1.556 -7.416 -1.484
-0.882 -3.470 -0.379
0.000 0.000 0.000


7.
SrMg SCAN PBEsol geometry; formation enthalpy at 0 K = 0.1735 eV per atom; SG = P-3m1 (164); uncorrected energy = -13.4510 eV per atom
1.0
-2.366 -1.123 -2.901
-0.867 -0.925 3.697
-5.866 9.665 1.042
Sr Mg
2 2
Cartesian
-6.324 7.178 2.379
-2.774 0.440 -0.540
-5.375 4.725 -0.078
-3.723 2.892 1.916


8.
Sr3Mg SCAN PBEsol geometry; formation enthalpy at 0 K = 0.0235 eV per atom; SG = Imm2 (44); uncorrected energy = -17.9264 eV per atom
1.0
-1.244 4.133 -0.311
-5.263 -1.334 3.319
6.327 -0.067 3.906
Sr Mg
3 1
Cartesian
1.281 0.636 3.320
-1.058 1.956 0.119
-2.352 1.870 4.155
-3.059 -0.776 1.929